No. 1
A plane-wave DFT calculation with GGA-PBE was carried out for a relaxed structure of Ac3Ag5F12.

Cell: 12.5357 12.5357 12.5357 Å, 109.47 109.47 109.47°
Fractional positions:
F: 0.6642 0.2314 0.5860
F: 0.5782 0.6455 0.4140
F: 0.2314 0.6642 0.0860
Ac: 0.6250 0.2500 0.3750
F: 0.9140 0.0782 0.6455
Ac: 0.1250 0.2500 0.8750
F: 0.4140 0.1455 0.5782
F: 0.0860 0.1642 0.2314
F: 0.5673 0.2314 0.1455
F: 0.7314 0.5860 0.1642
F: 0.5782 0.9327 0.6642
Ag: 0.7500 0.6250 0.3750
F: 0.9327 0.3545 0.2686
F: 0.3545 0.9327 0.7686
F: 0.1642 0.0860 0.7314
Ag: 0.5000 0.5000 0.0000
F: 0.3358 0.7686 0.4140
F: 0.1455 0.7314 0.5673
Ag: 0.5000 0.5000 0.5000
F: 0.4218 0.0673 0.3358
F: 0.0673 0.4218 0.8358
F: 0.2686 0.4140 0.8358
F: 0.6455 0.5782 0.9140
Ac: 0.3750 0.7500 0.6250
Ac: 0.2500 0.1250 0.3750
F: 0.1455 0.4140 0.0782
F: 0.0782 0.1642 0.4327
Ag: 0.3750 0.2500 0.1250
F: 0.4218 0.3545 0.5860
F: 0.3545 0.4218 0.0860
F: 0.2686 0.8545 0.9327
F: 0.8358 0.9218 0.0673
F: 0.2314 0.5673 0.6455
F: 0.9218 0.8358 0.5673
F: 0.4327 0.6642 0.0782
Ac: 0.8750 0.1250 0.2500
Ac: 0.2500 0.6250 0.8750
Ac: 0.7500 0.8750 0.6250
Ag: 0.8750 0.6250 0.7500
Ac: 0.1250 0.8750 0.7500
Ag: 0.0000 0.5000 0.0000
Ag: 0.3750 0.1250 0.7500
Ag: 0.5000 0.0000 0.5000
F: 0.6455 0.0673 0.2314
Ag: 0.8750 0.2500 0.6250
Ac: 0.8750 0.7500 0.1250
Ag: 0.1250 0.7500 0.3750
F: 0.0673 0.6455 0.7314
Ag: 0.7500 0.1250 0.8750
Ag: 0.1250 0.3750 0.2500
Ac: 0.6250 0.3750 0.7500
F: 0.7314 0.1455 0.0673
Ac: 0.3750 0.6250 0.2500
Ag: 0.0000 0.0000 0.5000
Ag: 0.6250 0.8750 0.2500
Ag: 0.0000 0.0000 0.0000
F: 0.8545 0.5860 0.9218
F: 0.7686 0.3358 0.9140
F: 0.1642 0.0782 0.9327
F: 0.5860 0.7314 0.6642
F: 0.7686 0.4327 0.3545
Ag: 0.0000 0.5000 0.5000
F: 0.9327 0.5782 0.1642
Ac: 0.7500 0.3750 0.1250
F: 0.0782 0.9140 0.1455
F: 0.6642 0.4327 0.5782
F: 0.0860 0.9218 0.3545
F: 0.3358 0.5673 0.4218
F: 0.5860 0.8545 0.4218
F: 0.9218 0.0860 0.8545
F: 0.4327 0.7686 0.8545
F: 0.9140 0.8358 0.7686
F: 0.8545 0.2686 0.4327
Ag: 0.6250 0.7500 0.8750
F: 0.5673 0.3358 0.9218
F: 0.4140 0.2686 0.3358
Ag: 0.2500 0.3750 0.6250
Ag: 0.5000 0.0000 0.0000
Ag: 0.2500 0.8750 0.1250
F: 0.8358 0.9140 0.2686

- Raw formation energy: -2496 meV per atom
- Space group: Ia-3d

---

No. 2
A plane-wave DFT calculation with GGA-PBE was carried out for a relaxed structure of AcAg3F6.

Cell: 4.1541 7.0757 7.0757 Å, 112.10 90.00 90.00°
Fractional positions:
F: 0.0000 0.8845 0.6395
F: 0.0000 0.1155 0.3605
F: 0.0000 0.3605 0.1155
Ag: 0.5000 0.0000 0.5000
F: 0.5000 0.3795 0.6205
Ac: 0.0000 0.5000 0.5000
Ag: 0.0000 0.0000 0.0000
F: 0.0000 0.6395 0.8845
F: 0.5000 0.6205 0.3795
Ag: 0.5000 0.5000 0.0000

- Raw formation energy: -2209 meV per atom
- Space group: Cmmm

---

No. 3
A plane-wave DFT calculation with GGA-PBE was carried out for a relaxed structure of AcAg6F12.

Cell: 7.0561 7.0561 7.0561 Å, 101.16 101.16 101.16°
Fractional positions:
Ag: 0.1445 0.3334 0.6086
F: 0.8838 0.6681 0.0353
F: 0.3319 0.9647 0.1162
F: 0.6681 0.0353 0.8838
F: 0.9647 0.1162 0.3319
F: 0.6200 0.4006 0.1773
F: 0.4006 0.1773 0.6200
F: 0.8227 0.3800 0.5994
Ac: 0.0000 0.0000 0.0000
F: 0.1162 0.3319 0.9647
F: 0.5994 0.8227 0.3800
Ag: 0.3914 0.8555 0.6666
Ag: 0.8555 0.6666 0.3914
F: 0.3800 0.5994 0.8227
Ag: 0.6666 0.3914 0.8555
Ag: 0.3334 0.6086 0.1445
Ag: 0.6086 0.1445 0.3334
F: 0.1773 0.6200 0.4006
F: 0.0353 0.8838 0.6681

- Raw formation energy: -1696 meV per atom
- Space group: R-3

---

No. 4
A plane-wave DFT calculation with GGA-PBE was carried out for a relaxed structure of AcAgF4.

Cell: 4.2395 4.2396 5.9051 Å, 88.38 88.38 90.03°
Fractional positions:
F: 0.0117 0.5129 0.7654
F: 0.4856 0.9868 0.2308
F: 0.5169 0.0077 0.7654
F: 0.9908 0.4816 0.2308
Ag: 0.0015 0.9975 0.4984
Ac: 0.5012 0.4972 0.9982

- Relative energy among the computed polymorphs: 0.000 eV per atom
- Raw formation energy: -3104 meV per atom
- Space group: C2/m

---

No. 5
A plane-wave DFT calculation with GGA-PBE was carried out for a relaxed structure of Ac2AgF.

Cell: 4.8372 4.8372 8.4930 Å, 73.45 73.45 60.00°
Fractional positions:
F: 0.0000 0.0000 0.0000
Ac: 0.1000 0.1000 0.7001
Ac: 0.9000 0.9000 0.2999
Ag: 0.5000 0.5000 0.5000

- Relative energy among the computed polymorphs: 0.000 eV per atom
- Raw formation energy: -1264 meV per atom
- Space group: R-3m

---

No. 6
A plane-wave DFT calculation with GGA-PBE was carried out for a relaxed structure of Ac4Ag6F19.

Cell: 8.4169 8.4169 8.4169 Å, 109.47 109.47 109.47°
Fractional positions:
F: 0.2804 0.2804 0.0000
F: 0.0000 0.7196 0.7196
Ag: 0.8514 0.3514 0.5000
F: 0.2063 0.5908 0.2244
F: 0.4092 0.6155 0.6336
Ac: 0.0000 0.6735 0.0000
Ac: 0.3265 0.3265 0.3265
Ag: 0.5000 0.1486 0.6486
F: 0.9819 0.7756 0.3664
F: 0.7937 0.0181 0.3845
F: 0.3664 0.9819 0.7756
Ag: 0.3514 0.5000 0.8514
F: 0.3845 0.7937 0.0181
F: 0.0000 0.2804 0.2804
F: 0.7196 0.0000 0.7196
F: 0.0000 0.0000 0.0000
F: 0.6336 0.4092 0.6155
F: 0.2804 0.0000 0.2804
F: 0.7196 0.7196 0.0000
Ac: 0.6735 0.0000 0.0000
F: 0.7756 0.3664 0.9819
Ag: 0.5000 0.8514 0.3514
F: 0.0181 0.3845 0.7937
F: 0.2244 0.2063 0.5908
F: 0.5908 0.2244 0.2063
Ag: 0.1486 0.6486 0.5000
F: 0.6155 0.6336 0.4092
Ac: 0.0000 0.0000 0.6735
Ag: 0.6486 0.5000 0.1486

- Raw formation energy: -2717 meV per atom
- Space group: I23

---

No. 7
A plane-wave DFT calculation with GGA-PBE was carried out for a relaxed structure of AcAgF4.

Cell: 6.9283 6.9283 6.9283 Å, 108.82 108.82 110.78°
Fractional positions:
F: 0.7451 0.5290 0.2161
F: 0.7753 0.9731 0.8022
F: 0.2790 0.9951 0.7161
F: 0.3128 0.5290 0.7839
F: 0.2790 0.5628 0.2839
Ac: 0.7364 0.7364 0.0000
F: 0.7231 0.4210 0.6978
Ac: 0.4864 0.9864 0.5000
Ag: 0.0093 0.5093 0.5000
Ag: 0.2593 0.2593 0.0000
F: 0.7231 0.0253 0.3022
F: 0.1710 0.9731 0.1978

- Relative energy among the computed polymorphs: 0.089 eV per atom
- Raw formation energy: -3014 meV per atom
- Space group: I4_1md

---

No. 8
A plane-wave DFT calculation with GGA-PBE was carried out for a relaxed structure of AcAg4F8.

Cell: 7.4243 7.4138 7.7610 Å, 54.49 54.41 61.80°
Fractional positions:
F: 0.3017 0.7166 0.7296
Ac: 0.5000 0.5000 0.5000
F: 0.7322 0.7326 0.6696
F: 0.7169 0.3020 0.7284
Ag: 0.5000 0.5000 0.0000
F: 0.2831 0.6980 0.2716
F: 0.2678 0.2674 0.3304
Ag: 0.0000 0.5000 0.5000
F: 0.2394 0.2395 0.7613
Ag: 0.0000 0.0000 0.0000
F: 0.6983 0.2834 0.2704
F: 0.7606 0.7605 0.2387
Ag: 0.5000 0.0000 0.5000

- Raw formation energy: -1906 meV per atom
- Space group: P-1

---

No. 9
A plane-wave DFT calculation with GGA-PBE was carried out for a relaxed structure of AcAg2F6.

Cell: 4.6535 4.6614 7.4309 Å, 105.10 108.25 90.00°
Fractional positions:
F: 0.5884 0.6291 0.1768
Ag: 0.2505 0.2144 0.5011
F: 0.1997 0.6653 0.3994
F: 0.8003 0.3347 0.6006
F: 0.4116 0.3709 0.8232
Ac: 0.0000 0.5000 0.0000
F: 0.0899 0.0797 0.1798
F: 0.9101 0.9203 0.8202
Ag: 0.7495 0.7856 0.4989

- Raw formation energy: -2431 meV per atom
- Space group: C2/m

---

No. 10
A plane-wave DFT calculation with GGA-PBE was carried out for a relaxed structure of AcAg2F8.

Cell: 5.4734 5.4734 5.8830 Å, 90.00 90.00 90.00°
Fractional positions:
F: 0.7459 0.7459 0.7788
F: 0.7459 0.2541 0.2212
F: 0.2541 0.2541 0.2212
F: 0.2541 0.7459 0.7788
F: 0.2541 0.7459 0.2212
F: 0.2541 0.2541 0.7788
F: 0.7459 0.7459 0.2212
Ag: 0.5000 0.0000 0.0000
F: 0.7459 0.2541 0.7788
Ag: 0.0000 0.5000 0.0000
Ac: 0.5000 0.5000 0.5000

- Relative energy among the computed polymorphs: 0.163 eV per atom
- Raw formation energy: -2019 meV per atom
- Space group: P4/mmm

---

No. 11
A plane-wave DFT calculation with GGA-PBE was carried out for a relaxed structure of AcAgH2F8.

Cell: 4.2814 4.7072 8.7682 Å, 85.05 95.41 65.87°
Fractional positions:
F: 0.1339 0.7743 0.2213
F: 0.7063 0.3666 0.2423
F: 0.8661 0.2257 0.7787
F: 0.2739 0.2208 0.0644
F: 0.2937 0.6334 0.7577
H: 0.5374 0.4681 0.7660
F: 0.3452 0.3075 0.4963
Ag: 0.0000 0.0000 0.0000
F: 0.7261 0.7792 0.9356
H: 0.4626 0.5319 0.2340
F: 0.6548 0.6925 0.5037
Ac: 0.0000 0.0000 0.5000

- Uncorrected energy: -4.607 eV per atom
- Space group: P-1

---

No. 12
A plane-wave DFT calculation with GGA-PBE was carried out for a relaxed structure of AcAgHgF6.

Cell: 5.5265 5.5265 11.5617 Å, 90.00 90.00 90.00°
Fractional positions:
F: 0.6917 0.6917 0.6763
F: 0.6892 0.6892 0.9980
F: 0.7941 0.2059 0.8248
Hg: 0.5000 0.5000 0.8354
Ac: 0.0000 0.0000 0.6670
F: 0.3083 0.3083 0.6763
F: 0.7059 0.7059 0.3248
Hg: 0.0000 0.0000 0.3354
F: 0.3108 0.3108 0.9980
F: 0.8083 0.1917 0.1763
F: 0.1917 0.8083 0.1763
F: 0.2941 0.2941 0.3248
Ag: 0.5000 0.5000 0.4993
Ac: 0.5000 0.5000 0.1670
Ag: 0.0000 0.0000 0.9993
F: 0.8108 0.1892 0.4980
F: 0.1892 0.8108 0.4980
F: 0.2059 0.7941 0.8248

- Raw formation energy: -2487 meV per atom
- Space group: P4_2nm

---

No. 13
A plane-wave DFT calculation with GGA-PBE was carried out for a relaxed structure of AcAgHg2F8.

Cell: 5.8242 5.8242 7.0647 Å, 114.34 114.34 90.00°
Fractional positions:
F: 0.6098 0.6162 0.7444
F: 0.1346 0.1282 0.7444
F: 0.3838 0.8654 0.2556
F: 0.8716 0.8653 0.2555
Ag: 0.0000 0.0000 0.0000
F: 0.8718 0.3902 0.2556
Hg: 0.5000 0.5000 0.0000
Hg: 0.2500 0.7500 0.5000
F: 0.1347 0.6162 0.7445
Ac: 0.7500 0.2500 0.5000
F: 0.3838 0.3902 0.2555
F: 0.6098 0.1284 0.7445

- Raw formation energy: -2251 meV per atom
- Space group: I-4m2

---

No. 14
A plane-wave DFT calculation with GGA-PBE was carried out for a relaxed structure of LiAcAgF6.

Cell: 5.3753 5.5391 5.5391 Å, 120.00 90.00 90.00°
Fractional positions:
Ac: 0.0000 0.3333 0.6667
F: 0.2736 0.6954 0.0080
F: 0.7264 0.6954 0.6874
Ag: 0.5000 0.6667 0.3333
F: 0.2736 0.3126 0.3046
F: 0.7264 0.9920 0.3046
F: 0.7264 0.3126 0.0080
Li: 0.5000 0.0000 0.0000
F: 0.2736 0.9920 0.6874

- Raw formation energy: -2815 meV per atom
- Space group: P312

---

No. 15
A plane-wave DFT calculation with GGA-PBE was carried out for a relaxed structure of LiAcAg2F6.

Cell: 5.8943 6.0058 8.9846 Å, 90.00 95.31 90.00°
Fractional positions:
Ac: 0.0000 0.5000 0.5000
Ac: 0.5000 0.0000 0.0000
F: 0.3549 0.9270 0.7406
F: 0.1763 0.2189 0.0677
F: 0.3237 0.7189 0.4323
F: 0.6451 0.0730 0.2594
F: 0.7245 0.3126 0.9247
Ag: 0.0364 0.9411 0.2394
Ag: 0.4636 0.4411 0.2606
Ag: 0.5364 0.5589 0.7394
F: 0.6763 0.2811 0.5677
F: 0.2245 0.1874 0.4247
Li: 0.0000 0.5000 0.0000
F: 0.8549 0.5730 0.2406
F: 0.7755 0.8126 0.5753
F: 0.2755 0.6874 0.0753
F: 0.1451 0.4270 0.7594
F: 0.8237 0.7811 0.9323
Ag: 0.9636 0.0589 0.7606
Li: 0.5000 0.0000 0.5000

- Raw formation energy: -2558 meV per atom
- Space group: P2_1/c

---

No. 16
A plane-wave DFT calculation with GGA-PBE was carried out for a relaxed structure of Li4AcAg3F12.

Cell: 6.8051 6.8051 6.8051 Å, 109.47 109.47 109.47°
Fractional positions:
F: 0.4694 0.2859 0.1835
F: 0.2859 0.8165 0.1024
F: 0.1835 0.4694 0.2859
F: 0.7141 0.1835 0.8976
F: 0.2859 0.1835 0.4694
Li: 0.5000 0.5000 0.5000
Li: 0.0000 0.5000 0.0000
F: 0.7141 0.8165 0.5306
Li: 0.5000 0.0000 0.0000
Ac: 0.0000 0.0000 0.0000
Ag: 0.0000 0.5000 0.5000
Ag: 0.5000 0.5000 0.0000
F: 0.1024 0.2859 0.8165
F: 0.1835 0.8976 0.7141
F: 0.8165 0.1024 0.2859
F: 0.8165 0.5306 0.7141
F: 0.8976 0.7141 0.1835
F: 0.5306 0.7141 0.8165
Li: 0.0000 0.0000 0.5000
Ag: 0.5000 0.0000 0.5000

- Raw formation energy: -2461 meV per atom
- Space group: Im-3

---

No. 17
A plane-wave DFT calculation with GGA-PBE was carried out for a relaxed structure of Li2AcAgF8.

Cell: 4.8144 4.8144 7.9405 Å, 87.38 87.38 74.51°
Fractional positions:
F: 0.6902 0.6902 0.4555
F: 0.7725 0.2211 0.2312
F: 0.3098 0.3098 0.5445
Li: 0.3836 0.3836 0.7686
F: 0.7789 0.2275 0.7688
F: 0.7483 0.7483 0.0167
Ac: 0.0000 0.0000 0.5000
F: 0.2275 0.7789 0.7688
F: 0.2211 0.7725 0.2312
Li: 0.6164 0.6164 0.2314
F: 0.2517 0.2517 0.9833
Ag: 0.0000 0.0000 0.0000

- Raw formation energy: -2646 meV per atom
- Space group: C2/m